Record 1
First-principles (GGA-PBE) data for an optimized crystal structure of Na3AsPd, as listed in Alexandria via LeMat-Bulk.

Symmetry: Pm-3m (221)
ΔE_f, eV/atom: 0.313
Offset from the most stable computed form, meV per atom: 700

Unit cell a=5.287 b=5.287 c=5.287 alpha=90.00 beta=90.00 gamma=90.00
Fractional coordinates of all 5 atoms:
Na (0.000, 0.500, 0.000)
Na (0.000, 0.000, 0.500)
Na (0.500, 0.000, 0.000)
As (0.500, 0.500, 0.500)
Pd (0.000, 0.000, 0.000)

Record 2
First-principles (GGA-PBE) data for an optimized crystal structure of NaAs3Pd, as listed in Alexandria via LeMat-Bulk.

Symmetry: Pm-3m (221)
ΔE_f, eV/atom: 1.162
Offset from the most stable computed form, meV per atom: 892

Unit cell a=4.897 b=4.897 c=4.897 alpha=90.00 beta=90.00 gamma=90.00
Fractional coordinates of all 5 atoms:
Na (0.000, 0.000, 0.000)
As (0.000, 0.500, 0.000)
As (0.000, 0.000, 0.500)
As (0.500, 0.000, 0.000)
Pd (0.500, 0.500, 0.500)

Record 3
First-principles (GGA-PBE) data for an optimized crystal structure of Na3AsPd, as listed in Alexandria via LeMat-Bulk.

Symmetry: P6_3/mmc (194)
ΔE_f, eV/atom: -0.387
Offset from the most stable computed form, meV per atom: 0

Unit cell a=5.118 b=5.115 c=9.789 alpha=90.00 beta=90.00 gamma=120.02
Fractional coordinates of all 10 atoms:
Na (0.843, 0.333, 0.586)
Na (0.843, 0.333, 0.914)
Na (0.509, 0.666, 0.750)
Na (0.510, 0.667, 0.086)
Na (0.510, 0.667, 0.414)
Na (0.843, 0.334, 0.250)
As (0.176, 0.000, 0.500)
As (0.176, 0.000, 0.000)
Pd (0.176, 0.999, 0.750)
Pd (0.177, 0.001, 0.250)

Record 4
First-principles (GGA-PBE) data for an optimized crystal structure of NaPm2As3Pd4, as listed in Alexandria via LeMat-Bulk.

Symmetry: P-4m2 (115)
ΔE_f, eV/atom: -0.790

Unit cell a=4.256 b=4.256 c=10.924 alpha=90.00 beta=90.00 gamma=90.00
Fractional coordinates of all 10 atoms:
Na (0.500, 0.500, 0.500)
Pm (0.500, 0.000, 0.224)
Pm (0.000, 0.500, 0.776)
As (0.000, 0.000, 0.500)
As (0.500, 0.000, 0.865)
As (0.000, 0.500, 0.135)
Pd (0.500, 0.500, 0.000)
Pd (0.000, 0.000, 0.000)
Pd (0.500, 0.000, 0.643)
Pd (0.000, 0.500, 0.357)

Record 5
First-principles (GGA-PBE) data for an optimized crystal structure of NaPmAs2Pd5, as listed in Alexandria via LeMat-Bulk.

Symmetry: P4/mmm (123)
ΔE_f, eV/atom: -0.631

Unit cell a=4.235 b=4.235 c=9.402 alpha=90.00 beta=90.00 gamma=90.00
Fractional coordinates of all 9 atoms:
Na (0.000, 0.000, 0.000)
Pm (0.000, 0.000, 0.500)
As (0.500, 0.500, 0.136)
As (0.500, 0.500, 0.864)
Pd (0.000, 0.500, 0.275)
Pd (0.500, 0.000, 0.275)
Pd (0.000, 0.500, 0.725)
Pd (0.500, 0.000, 0.725)
Pd (0.500, 0.500, 0.500)

Record 6
First-principles (GGA-PBE) data for an optimized crystal structure of NaPmAs2Pd2, as listed in Alexandria via LeMat-Bulk.

Symmetry: P-3m1 (164)
ΔE_f, eV/atom: -0.779

Unit cell a=4.257 b=4.257 c=8.303 alpha=90.00 beta=90.00 gamma=120.00
Fractional coordinates of all 6 atoms:
Na (0.000, 0.000, 0.000)
Pm (0.000, 0.000, 0.500)
As (0.333, 0.667, 0.268)
As (0.667, 0.333, 0.732)
Pd (0.333, 0.667, 0.756)
Pd (0.667, 0.333, 0.244)

Record 7
First-principles (GGA-PBE) data for an optimized crystal structure of NaPm2As4Pd3, as listed in Alexandria via LeMat-Bulk.

Symmetry: P-4m2 (115)
ΔE_f, eV/atom: -0.756

Unit cell a=4.378 b=4.378 c=10.643 alpha=90.00 beta=90.00 gamma=90.00
Fractional coordinates of all 10 atoms:
Na (0.500, 0.500, 0.500)
Pm (0.500, 0.000, 0.237)
Pm (0.000, 0.500, 0.763)
As (0.500, 0.500, 0.000)
As (0.000, 0.000, 0.000)
As (0.500, 0.000, 0.648)
As (0.000, 0.500, 0.352)
Pd (0.000, 0.000, 0.500)
Pd (0.500, 0.000, 0.879)
Pd (0.000, 0.500, 0.121)

Record 8
First-principles (GGA-PBE) data for an optimized crystal structure of NaPr2As3Pd4, as listed in Alexandria via LeMat-Bulk.

Symmetry: P-4m2 (115)
ΔE_f, eV/atom: -0.799

Unit cell a=4.305 b=4.305 c=10.823 alpha=90.00 beta=90.00 gamma=90.00
Fractional coordinates of all 10 atoms:
Na (0.500, 0.500, 0.500)
Pr (0.500, 0.000, 0.228)
Pr (0.000, 0.500, 0.772)
As (0.000, 0.000, 0.500)
As (0.500, 0.000, 0.866)
As (0.000, 0.500, 0.134)
Pd (0.500, 0.500, 0.000)
Pd (0.000, 0.000, 0.000)
Pd (0.500, 0.000, 0.642)
Pd (0.000, 0.500, 0.358)

Record 9
First-principles (GGA-PBE) data for an optimized crystal structure of NaPrAs2Pd4, as listed in Alexandria via LeMat-Bulk.

Symmetry: P4/mmm (123)
ΔE_f, eV/atom: -0.478

Unit cell a=4.085 b=4.085 c=10.430 alpha=90.00 beta=90.00 gamma=90.00
Fractional coordinates of all 8 atoms:
Na (0.000, 0.000, 0.500)
Pr (0.000, 0.000, 0.000)
As (0.500, 0.500, 0.347)
As (0.500, 0.500, 0.653)
Pd (0.000, 0.500, 0.213)
Pd (0.500, 0.000, 0.787)
Pd (0.500, 0.000, 0.213)
Pd (0.000, 0.500, 0.787)

Record 10
First-principles (GGA-PBE) data for an optimized crystal structure of Na2As4Pd3Pt, as listed in Alexandria via LeMat-Bulk.

Symmetry: P-4m2 (115)
ΔE_f, eV/atom: -0.402

Unit cell a=4.387 b=4.387 c=10.177 alpha=90.00 beta=90.00 gamma=90.00
Fractional coordinates of all 10 atoms:
Na (0.500, 0.000, 0.252)
Na (0.000, 0.500, 0.748)
As (0.500, 0.500, 0.000)
As (0.000, 0.000, 0.000)
As (0.500, 0.000, 0.626)
As (0.000, 0.500, 0.374)
Pd (0.000, 0.000, 0.500)
Pd (0.500, 0.000, 0.871)
Pd (0.000, 0.500, 0.129)
Pt (0.500, 0.500, 0.500)

Record 11
First-principles (GGA-PBE) data for an optimized crystal structure of Rb2NaAsPd, as listed in Alexandria via LeMat-Bulk.

Symmetry: P4/mmm (123)
ΔE_f, eV/atom: -0.123

Unit cell a=6.732 b=6.732 c=4.683 alpha=90.00 beta=90.00 gamma=90.00
Fractional coordinates of all 5 atoms:
Na (0.500, 0.500, 0.500)
As (0.000, 0.000, 0.500)
Rb (0.000, 0.500, 0.000)
Rb (0.500, 0.000, 0.000)
Pd (0.000, 0.000, 0.000)

Record 12
First-principles (GGA-PBE) data for an optimized crystal structure of Rb2NaAs2Pd, as listed in Alexandria via LeMat-Bulk.

Symmetry: Ibam (72)
ΔE_f, eV/atom: -0.328

Unit cell a=6.858 b=6.809 c=9.140 alpha=111.87 beta=112.04 gamma=90.00
Fractional coordinates of all 12 atoms:
Rb (0.406, 0.173, 0.346)
Rb (0.594, 0.827, 0.654)
Rb (0.061, 0.327, 0.654)
Rb (0.939, 0.673, 0.346)
Na (0.000, 0.750, 0.000)
Na (0.000, 0.250, 0.000)
As (0.780, 0.085, 0.170)
As (0.391, 0.585, 0.170)
As (0.609, 0.415, 0.830)
As (0.220, 0.915, 0.830)
Pd (0.500, 0.750, 0.000)
Pd (0.500, 0.250, 0.000)

Record 13
First-principles (GGA-PBE) data for an optimized crystal structure of RbNa2AsPd, as listed in Alexandria via LeMat-Bulk.

Symmetry: P4/mmm (123)
ΔE_f, eV/atom: -0.244
Offset from the most stable computed form, meV per atom: 3

Unit cell a=5.600 b=5.600 c=4.885 alpha=90.00 beta=90.00 gamma=90.00
Fractional coordinates of all 5 atoms:
Na (0.000, 0.500, 0.000)
Na (0.500, 0.000, 0.000)
As (0.000, 0.000, 0.000)
Rb (0.500, 0.500, 0.500)
Pd (0.000, 0.000, 0.500)

Record 14
First-principles (GGA-PBE) data for an optimized crystal structure of RbNaAsPd2, as listed in Alexandria via LeMat-Bulk.

Symmetry: P4/mmm (123)
ΔE_f, eV/atom: -0.185

Unit cell a=4.878 b=4.878 c=5.441 alpha=90.00 beta=90.00 gamma=90.00
Fractional coordinates of all 5 atoms:
Na (0.000, 0.000, 0.500)
As (0.000, 0.000, 0.000)
Rb (0.500, 0.500, 0.500)
Pd (0.000, 0.500, 0.000)
Pd (0.500, 0.000, 0.000)

Record 15
First-principles (GGA-PBE) data for an optimized crystal structure of RbNa2AsPd, as listed in Alexandria via LeMat-Bulk.

Symmetry: P4/mmm (123)
ΔE_f, eV/atom: -0.247
Offset from the most stable computed form, meV per atom: 0

Unit cell a=5.584 b=5.584 c=4.804 alpha=90.00 beta=90.00 gamma=90.00
Fractional coordinates of all 5 atoms:
Na (0.000, 0.500, 0.000)
Na (0.500, 0.000, 0.000)
As (0.000, 0.000, 0.500)
Rb (0.500, 0.500, 0.500)
Pd (0.000, 0.000, 0.000)

Record 16
First-principles (GGA-PBE) data for an optimized crystal structure of Na2As2PdRh, as listed in Alexandria via LeMat-Bulk.

Symmetry: Ibam (72)
ΔE_f, eV/atom: -0.454

Unit cell a=6.264 b=5.856 c=7.890 alpha=111.78 beta=113.39 gamma=90.00
Fractional coordinates of all 12 atoms:
Na (0.412, 0.170, 0.340)
Na (0.588, 0.830, 0.660)
Na (0.072, 0.330, 0.660)
Na (0.928, 0.670, 0.340)
As (0.839, 0.101, 0.201)
As (0.363, 0.601, 0.201)
As (0.637, 0.399, 0.799)
As (0.161, 0.899, 0.799)
Pd (0.000, 0.750, 0.000)
Pd (0.000, 0.250, 0.000)
Rh (0.500, 0.750, 0.000)
Rh (0.500, 0.250, 0.000)

Record 17
First-principles (GGA-PBE) data for an optimized crystal structure of NaAs2PdRu, as listed in Alexandria via LeMat-Bulk.

Symmetry: I-4m2 (119)
ΔE_f, eV/atom: -0.388

Unit cell a=4.040 b=4.040 c=6.728 alpha=107.47 beta=107.47 gamma=90.00
Fractional coordinates of all 5 atoms:
Na (0.000, 0.000, 0.000)
As (0.632, 0.632, 0.264)
As (0.368, 0.368, 0.736)
Pd (0.250, 0.750, 0.500)
Ru (0.750, 0.250, 0.500)

Record 18
First-principles (GGA-PBE) data for an optimized crystal structure of Na2As2PdRu, as listed in Alexandria via LeMat-Bulk.

Symmetry: Ibam (72)
ΔE_f, eV/atom: -0.434

Unit cell a=5.838 b=5.927 c=8.041 alpha=111.63 beta=111.29 gamma=90.00
Fractional coordinates of all 12 atoms:
Na (0.403, 0.172, 0.344)
Na (0.597, 0.828, 0.656)
Na (0.059, 0.328, 0.656)
Na (0.941, 0.672, 0.344)
As (0.831, 0.104, 0.207)
As (0.377, 0.604, 0.207)
As (0.623, 0.396, 0.793)
As (0.169, 0.896, 0.793)
Pd (0.000, 0.750, 0.000)
Pd (0.000, 0.250, 0.000)
Ru (0.500, 0.750, 0.000)
Ru (0.500, 0.250, 0.000)

Record 19
First-principles (GGA-PBE) data for an optimized crystal structure of Na2SbAs2Pd5, as listed in Alexandria via LeMat-Bulk.

Energy relative to the elements, uncorrected, eV/f.u.: -4.0
Symmetry: P4/mbm (127)

Unit cell a=3.267 b=10.699 c=10.699 alpha=90.00 beta=90.00 gamma=90.00
Fractional coordinates of all 20 atoms:
Na (0.000, 0.674, 0.174)
Na (0.000, 0.326, 0.826)
Na (0.000, 0.174, 0.326)
Na (0.000, 0.826, 0.674)
Sb (0.000, 0.000, 0.000)
Sb (0.000, 0.500, 0.500)
As (0.000, 0.129, 0.629)
As (0.000, 0.871, 0.371)
As (0.000, 0.629, 0.871)
As (0.000, 0.371, 0.129)
Pd (0.500, 0.200, 0.060)
Pd (0.500, 0.800, 0.940)
Pd (0.500, 0.060, 0.800)
Pd (0.500, 0.700, 0.440)
Pd (0.500, 0.940, 0.200)
Pd (0.500, 0.300, 0.560)
Pd (0.500, 0.560, 0.700)
Pd (0.500, 0.440, 0.300)
Pd (0.500, 0.500, 0.000)
Pd (0.500, 0.000, 0.500)

Record 20
First-principles (GGA-PBE) data for an optimized crystal structure of Na2SbAsPd6, as listed in Alexandria via LeMat-Bulk.

Energy relative to the elements, uncorrected, eV/f.u.: -3.0
Symmetry: P-1 (2)

Unit cell a=6.684 b=6.677 c=6.655 alpha=60.04 beta=60.18 gamma=90.27
Fractional coordinates of all 10 atoms:
Na (0.699, 0.300, 0.603)
Na (0.301, 0.700, 0.397)
Sb (0.000, 0.000, 0.000)
As (0.500, 0.500, 0.000)
Pd (0.341, 0.140, 0.487)
Pd (0.862, 0.825, 0.799)
Pd (0.174, 0.661, 0.967)
Pd (0.826, 0.339, 0.033)
Pd (0.138, 0.175, 0.201)
Pd (0.659, 0.860, 0.513)

Calculated V (Å³/atom), listed in the same order as above: 29.55 23.49 22.19 19.78 18.74 21.71 20.40 20.06 21.76 19.59 42.44 30.19 30.64 25.89 29.95 20.25 19.89 19.84 18.70 21.03
Calculated E_tot (eV per atom), listed in the same order as above: -2.45 -2.93 -3.15 -5.34 -5.22 -5.07 -5.26 -5.36 -5.00 -4.69 -2.74 -3.29 -2.93 -3.65 -2.94 -4.53 -5.41 -4.83 -4.61 -4.56